1.
# Cu2Hg3Pd4

Crystalline Cu2Hg3Pd4 at its relaxed geometry (GGA-PBE, Alexandria).

Properties
Total DFT energy (no corrections) (eV for the cell shown): -30.5
M_tot (μB/atom): 0.0000
DFT formation energy (eV/atom): -0.07

Cell lengths 3.961, 4.947, 8.740 Å; angles 74.14, 90.00, 66.58 degrees
Atoms (fractional coordinates):
Hg: 0.000 0.000 0.000
Hg: 0.334 0.334 0.429
Hg: 0.666 0.666 0.571
Cu: 0.672 0.657 0.210
Cu: 0.328 0.343 0.790
Pd: 0.008 0.981 0.326
Pd: 0.332 0.335 0.109
Pd: 0.992 0.019 0.674
Pd: 0.668 0.665 0.891

2.
# CuHg2Pd6

Crystalline CuHg2Pd6 at its relaxed geometry (GGA-PBE, Alexandria).

Properties
Distance to the lowest polymorph of the same formula (meV per atom): 0.0
Total DFT energy (no corrections) (eV for the cell shown): -36.6
M_tot (μB/atom): 0.0000
DFT formation energy (eV/atom): -0.09

Cell lengths 4.696, 4.473, 8.305 Å; angles 94.78, 90.00, 121.66 degrees
Atoms (fractional coordinates):
Pd: 0.670 0.341 0.942
Pd: 0.995 0.991 0.169
Pd: 0.330 0.659 0.058
Pd: 0.005 0.009 0.831
Pd: 0.329 0.658 0.397
Pd: 0.671 0.342 0.603
Hg: 0.663 0.325 0.273
Hg: 0.337 0.675 0.727
Cu: 0.000 0.000 0.500

3.
# CuHgPd2

Crystalline CuHgPd2 at its relaxed geometry (GGA-PBE, Alexandria).

Properties
Total DFT energy (no corrections) (eV for the cell shown): -15.0
M_tot (μB/atom): 0.0000
DFT formation energy (eV/atom): -0.05

Cell lengths 4.496, 4.496, 4.498 Å; angles 60.01, 60.01, 60.00 degrees
Atoms (fractional coordinates):
Pd: 0.250 0.250 0.250
Pd: 0.000 0.000 0.000
Cu: 0.750 0.750 0.750
Hg: 0.500 0.500 0.500

4.
# CuHg2Pd4

Crystalline CuHg2Pd4 at its relaxed geometry (GGA-PBE, Alexandria).

Properties
Distance to the lowest polymorph of the same formula (meV per atom): 0.0
Total DFT energy (no corrections) (eV for the cell shown): -25.7
M_tot (μB/atom): 0.0000
DFT formation energy (eV/atom): -0.03

Cell lengths 2.910, 6.659, 7.178 Å; angles 116.67, 101.69, 90.00 degrees
Atoms (fractional coordinates):
Hg: 0.223 0.205 0.446
Hg: 0.777 0.795 0.554
Pd: 0.090 0.726 0.179
Pd: 0.404 0.635 0.808
Pd: 0.596 0.365 0.192
Pd: 0.910 0.274 0.821
Cu: 0.000 0.000 0.000

5.
# Cu2HgPd9

Crystalline Cu2HgPd9 at its relaxed geometry (GGA-PBE, Alexandria).

Properties
Total DFT energy (no corrections) (eV for the cell shown): -56.0
M_tot (μB/atom): 0.0000
DFT formation energy (eV/atom): -0.07

Cell lengths 3.953, 3.953, 11.809 Å; angles 90.00, 90.00, 90.00 degrees
Atoms (fractional coordinates):
Pd: 0.500 0.000 0.179
Pd: 0.500 0.500 0.340
Pd: 0.500 0.500 0.000
Pd: 0.000 0.500 0.821
Pd: 0.500 0.000 0.500
Pd: 0.000 0.500 0.500
Pd: 0.500 0.500 0.660
Pd: 0.000 0.500 0.179
Pd: 0.500 0.000 0.821
Hg: 0.000 0.000 0.000
Cu: 0.000 0.000 0.661
Cu: 0.000 0.000 0.339

6.
# Cu12HgPd6

Crystalline Cu12HgPd6 at its relaxed geometry (GGA-PBE, Alexandria).

Properties
Total DFT energy (no corrections) (eV for the cell shown): -77.6
M_tot (μB/atom): 0.0000
DFT formation energy (eV/atom): 0.16

Cell lengths 6.987, 6.987, 6.987 Å; angles 106.35, 106.35, 106.35 degrees
Atoms (fractional coordinates):
Hg: 0.000 0.000 0.000
Pd: 0.304 0.703 0.304
Pd: 0.703 0.304 0.304
Pd: 0.304 0.304 0.703
Pd: 0.696 0.696 0.297
Pd: 0.696 0.297 0.696
Pd: 0.297 0.696 0.696
Cu: 0.110 0.890 0.500
Cu: 0.110 0.347 0.347
Cu: 0.347 0.347 0.110
Cu: 0.890 0.500 0.110
Cu: 0.653 0.890 0.653
Cu: 0.890 0.653 0.653
Cu: 0.890 0.110 0.500
Cu: 0.347 0.110 0.347
Cu: 0.500 0.110 0.890
Cu: 0.110 0.500 0.890
Cu: 0.500 0.890 0.110
Cu: 0.653 0.653 0.890